IrC3: relaxed, PBE.

Summary:
Total magnetization ... 0.0 Bohr magnetons per cell
Energy ... -8.210 eV per atom
DOS at the Fermi energy ... 0.91 states/eV per cell
E above lowest polymorph ... 206 meV per atom

Lattice parameters (Å, degrees): 3.5275 3.5275 4.1909 106.11 106.11 63.68
Sites, in units of the cell vectors:
Ir 0.0000 0.0000 0.0000
C 0.1521 0.5318 0.2740
C 0.5318 0.1521 0.2740
C 0.8920 0.8920 0.4951